First-principles (PBE) data for a relaxed structure of Re2PBr, as listed in the Alexandria database.

## Properties
* E_form (uncorrected): 0.84 eV/atom
* M_tot: 0.0 μB per formula unit
* excess energy over the best structure of this formula in the dataset: 538 meV per atom
* density: 11.948 g cm⁻³
* DFT total energy: -7.1590 eV per atom

a b c (Å): 3.081 3.081 7.925
angles (deg): 90.00 90.00 116.79
Fractional positions:
P  0.500  0.500  0.750
Re  0.000  0.000  0.551
Re  0.000  0.000  0.949
Br  0.500  0.500  0.250

---

First-principles (PBE) data for a relaxed structure of NpGa2Os, as listed in the Alexandria database.

## Properties
* M_tot: 4.4 μB per formula unit
* density: 13.489 g cm⁻³
* DFT total energy: -7.5625 eV per atom
* formation energy from the elements: -0.006 eV/atom

a b c (Å): 3.100 3.100 7.258
angles (deg): 90.00 90.00 90.00
Each line ends with the local moment (μB).
Fractional positions:
Ga  0.000  0.000  0.198  -0.03
Ga  0.000  0.000  0.802  -0.03
Os  0.500  0.500  0.000  0.08
Np  0.500  0.500  0.500  4.08

---

First-principles (PBE) data for a relaxed structure of Be2AsRu2, as listed in the Alexandria database.

## Properties
* M_tot: 0.0 μB per formula unit
* excess energy over the best structure of this formula in the dataset: 0 meV per atom
* density: 7.837 g cm⁻³
* DFT total energy: -6.2637 eV per atom
* formation energy from the elements: -0.133 eV/atom

a b c (Å): 6.346 6.346 3.105
angles (deg): 90.00 90.00 90.00
Fractional positions:
Ru  0.339  0.839  0.000
Ru  0.661  0.161  0.000
Ru  0.161  0.339  0.000
Ru  0.839  0.661  0.000
As  0.000  0.000  0.000
As  0.500  0.500  0.000
Be  0.372  0.128  0.500
Be  0.872  0.372  0.500
Be  0.628  0.872  0.500
Be  0.128  0.628  0.500

---

First-principles (PBE) data for a relaxed structure of ThAlGa2Ni4, as listed in the Alexandria database.

## Properties
* M_tot: 0.0 μB per formula unit
* density: 8.762 g cm⁻³
* DFT total energy: -5.5627 eV per atom
* formation energy from the elements: -0.520 eV/atom

a b c (Å): 4.083 4.083 8.642
angles (deg): 76.34 76.34 60.00
Fractional positions:
Ga  0.238  0.238  0.286
Ga  0.762  0.762  0.714
Ni  0.134  0.134  0.599
Ni  0.596  0.596  0.211
Ni  0.866  0.866  0.401
Ni  0.404  0.404  0.789
Th  0.000  0.000  0.000
Al  0.500  0.500  0.500

---

First-principles (PBE) data for a relaxed structure of Nd2Ga2SnPd5, as listed in the Alexandria database.

## Properties
* M_tot: 0.0 μB per formula unit
* density: 9.269 g cm⁻³
* DFT total energy: -5.2614 eV per atom
* formation energy from the elements: -0.706 eV/atom

a b c (Å): 3.670 10.262 10.262
angles (deg): 90.00 90.00 90.00
Fractional positions:
Pd  0.500  0.444  0.291
Pd  0.500  0.791  0.944
Pd  0.500  0.056  0.791
Pd  0.500  0.291  0.556
Pd  0.500  0.500  0.000
Pd  0.500  0.709  0.444
Pd  0.500  0.209  0.056
Pd  0.500  0.000  0.500
Pd  0.500  0.944  0.209
Pd  0.500  0.556  0.709
Nd  0.000  0.320  0.820
Nd  0.000  0.680  0.180
Nd  0.000  0.820  0.680
Nd  0.000  0.180  0.320
Sn  0.000  0.000  0.000
Sn  0.000  0.500  0.500
Ga  0.000  0.881  0.381
Ga  0.000  0.619  0.881
Ga  0.000  0.119  0.619
Ga  0.000  0.381  0.119

---

First-principles (PBE) data for a relaxed structure of CaTa3Mn, as listed in the Alexandria database.

## Properties
* M_tot: 0.0 μB per formula unit
* excess energy over the best structure of this formula in the dataset: 0 meV per atom
* density: 10.039 g cm⁻³
* DFT total energy: -8.6081 eV per atom
* formation energy from the elements: 0.738 eV/atom

a b c (Å): 4.725 4.725 4.725
angles (deg): 90.00 90.00 90.00
Fractional positions:
Ta  0.500  0.000  0.000
Ta  0.000  0.000  0.500
Ta  0.000  0.500  0.000
Mn  0.000  0.000  0.000
Ca  0.500  0.500  0.500

---

First-principles (PBE) data for a relaxed structure of MgPb2Br, as listed in the Alexandria database.

## Properties
* E_form (uncorrected): -0.18 eV/atom
* M_tot: 0.0 μB per formula unit
* excess energy over the best structure of this formula in the dataset: 171 meV per atom
* density: 7.545 g cm⁻³
* DFT total energy: -2.8470 eV per atom

a b c (Å): 3.556 3.556 9.026
angles (deg): 90.00 90.00 90.09
Fractional positions:
Pb  0.000  0.000  0.512
Pb  0.000  0.000  0.988
Br  0.500  0.500  0.250
Mg  0.500  0.500  0.750

---

First-principles (PBE) data for a relaxed structure of CaAg3B, as listed in the Alexandria database.

## Properties
* M_tot: 0.0 μB per formula unit
* excess energy over the best structure of this formula in the dataset: 1689 meV per atom
* density: 3.766 g cm⁻³
* DFT total energy: -1.6875 eV per atom
* formation energy from the elements: 1.759 eV/atom

a b c (Å): 5.486 5.486 5.486
angles (deg): 90.00 90.00 90.00
Fractional positions:
Ag  0.000  0.000  0.500
Ag  0.500  0.000  0.000
Ag  0.000  0.500  0.000
Ca  0.000  0.000  0.000
B  0.500  0.500  0.500

---

First-principles (PBE) data for a relaxed structure of Ta3H12Pd5, as listed in the Alexandria database.

## Properties
* M_tot: 0.0 μB per formula unit
* density: 10.460 g cm⁻³
* DFT total energy: -5.0756 eV per atom

a b c (Å): 9.643 9.643 9.643
angles (deg): 109.47 109.47 109.47
Fractional positions:
Ta  0.750  0.375  0.125
Ta  0.875  0.125  0.250
Ta  0.125  0.875  0.750
Ta  0.375  0.750  0.625
Ta  0.625  0.375  0.750
Ta  0.750  0.875  0.625
Ta  0.375  0.625  0.250
Ta  0.250  0.625  0.875
Ta  0.875  0.750  0.125
Ta  0.250  0.125  0.375
Ta  0.125  0.250  0.875
Ta  0.625  0.250  0.375
H  0.084  0.916  0.145
H  0.416  0.271  0.332
H  0.229  0.668  0.084
H  0.061  0.416  0.832
H  0.771  0.332  0.916
H  0.332  0.561  0.416
H  0.729  0.145  0.061
H  0.771  0.439  0.355
H  0.061  0.645  0.729
H  0.416  0.355  0.584
H  0.332  0.771  0.416
H  0.916  0.832  0.771
H  0.939  0.355  0.271
H  0.668  0.439  0.584
H  0.355  0.416  0.084
H  0.916  0.832  0.561
H  0.584  0.729  0.668
H  0.271  0.416  0.832
H  0.584  0.645  0.416
H  0.939  0.584  0.168
H  0.916  0.084  0.855
H  0.832  0.916  0.061
H  0.832  0.916  0.271
H  0.145  0.416  0.084
H  0.729  0.584  0.168
H  0.168  0.084  0.729
H  0.645  0.584  0.916
H  0.916  0.084  0.645
H  0.145  0.729  0.561
H  0.084  0.168  0.439
H  0.855  0.271  0.439
H  0.084  0.168  0.229
H  0.416  0.145  0.584
H  0.439  0.668  0.084
H  0.584  0.939  0.668
H  0.584  0.855  0.416
H  0.416  0.061  0.332
H  0.168  0.084  0.939
H  0.855  0.584  0.916
H  0.439  0.771  0.855
H  0.561  0.229  0.145
H  0.668  0.229  0.584
H  0.229  0.561  0.645
H  0.271  0.855  0.939
H  0.355  0.939  0.771
H  0.561  0.332  0.916
H  0.084  0.916  0.355
H  0.645  0.061  0.229
Pd  0.750  0.625  0.375
Pd  0.000  0.500  0.000
Pd  0.125  0.750  0.375
Pd  0.625  0.750  0.875
Pd  0.875  0.250  0.625
Pd  0.500  0.000  0.500
Pd  0.500  0.000  0.000
Pd  0.500  0.500  0.500
Pd  0.625  0.875  0.250
Pd  0.375  0.125  0.750
Pd  0.000  0.000  0.000
Pd  0.000  0.000  0.500
Pd  0.250  0.875  0.125
Pd  0.750  0.125  0.875
Pd  0.375  0.250  0.125
Pd  0.125  0.375  0.250
Pd  0.000  0.500  0.500
Pd  0.500  0.500  0.000
Pd  0.250  0.375  0.625
Pd  0.875  0.625  0.750

---

First-principles (PBE) data for a relaxed structure of Ca2CoSbN, as listed in the Alexandria database.

## Properties
* E_form (uncorrected): -0.65 eV/atom
* M_tot: 0.6 μB per formula unit
* density: 4.533 g cm⁻³
* DFT total energy: -5.3579 eV per atom

a b c (Å): 5.346 5.346 3.522
angles (deg): 90.00 90.00 90.00
Each line ends with the local moment (μB).
Fractional positions:
Ca  0.500  0.000  0.000  0.00
Ca  0.000  0.500  0.000  0.00
Sb  0.500  0.500  0.500  0.04
N  0.000  0.000  0.000  0.03
Co  0.000  0.000  0.500  0.52

---

First-principles (PBE) data for a relaxed structure of AcAl2SiNi4, as listed in the Alexandria database.

## Properties
* E_form (uncorrected): -0.52 eV/atom
* M_tot: 0.0 μB per formula unit
* density: 7.195 g cm⁻³
* DFT total energy: -5.5347 eV per atom

a b c (Å): 4.047 4.047 9.153
angles (deg): 77.23 77.23 60.00
Fractional positions:
Ni  0.138  0.138  0.585
Ni  0.862  0.862  0.415
Ni  0.586  0.586  0.241
Ni  0.414  0.414  0.759
Si  0.500  0.500  0.500
Ac  0.000  0.000  0.000
Al  0.767  0.767  0.700
Al  0.233  0.233  0.300

---

First-principles (PBE) data for a relaxed structure of In2PS, as listed in the Alexandria database.

## Properties
* E_form (uncorrected): 0.17 eV/atom
* M_tot: 0.0 μB per formula unit
* excess energy over the best structure of this formula in the dataset: 419 meV per atom
* density: 5.879 g cm⁻³
* DFT total energy: -3.5885 eV per atom

a b c (Å): 4.890 4.890 4.890
angles (deg): 60.00 60.00 60.00
Fractional positions:
P  0.000  0.000  0.000
In  0.250  0.250  0.250
In  0.750  0.750  0.750
S  0.500  0.500  0.500

---

> Which value of DFT total energy does entry 1 give?

-7.1590 eV per atom